No. 1
The following is a DFT calculation (PBE-GGA) of DyTmTePb after structural relaxation.

Lattice parameters (Å, degrees): 4.3881 4.3881 6.1786 90.00 90.00 90.00
Last column: nearest neighbours and their distance in Å.
Space group P4mm (No. 99)
One atom of each set of equivalent atoms:
1 Dy 0.0000 0.0000 0.0000  2 Te 3.09, 4 Pb 3.10
2 Tm 0.5000 0.5000 0.5010  2 Pb 3.09, 4 Te 3.10
3 Te 0.0000 0.0000 0.5000  2 Dy 3.09, 4 Tm 3.10
4 Pb 0.5000 0.5000 0.0009  2 Tm 3.09, 4 Dy 3.10

Computed properties:
ΔE_f (raw) (meV/atom): -896
DOS at the Fermi energy (states/eV per cell): 1.084
Electronic total energy (eV/atom): -4.876

No. 2
The following is a DFT calculation (PBE-GGA) of DyTh2Pb9 after structural relaxation.

Lattice parameters (Å, degrees): 4.9067 4.9067 14.6540 90.00 90.00 90.00
Last column: nearest neighbours and their distance in Å.
Space group P4/mmm (No. 123)
One atom of each set of equivalent atoms:
1 Dy 0.0000 0.0000 0.0000  12 Pb 3.43-3.47
2 Th 0.0000 0.0000 0.3357  12 Pb 3.44-3.51
3 Pb 0.0000 0.5000 0.1640  8 Pb 3.43-3.47, 2 Dy 3.43, 2 Th 3.51
4 Pb 0.0000 0.5000 0.5000  4 Th 3.44, 8 Pb 3.47-3.48
5 Pb 0.5000 0.5000 0.0000  8 Pb 3.43, 4 Dy 3.47
6 Pb 0.5000 0.5000 0.3314  8 Pb 3.47-3.48, 4 Th 3.47

Computed properties:
DOS at the Fermi energy (states/eV per cell): 10.697
Calculated formation energy (eV per atom): -0.24
Electronic total energy (eV/atom): -4.642

No. 3
The following is a DFT calculation (PBE-GGA) of DyThPb2 after structural relaxation.

Lattice parameters (Å, degrees): 4.4071 4.4071 8.0237 90.00 90.00 120.00
Last column: nearest neighbours and their distance in Å.
Space group P-3m1 (No. 164)
One atom of each set of equivalent atoms:
1 Dy 0.0000 0.0000 0.0000  6 Pb 3.21
2 Th 0.0000 0.0000 0.5000  6 Pb 3.28
3 Pb 0.3333 0.6667 0.2429  3 Dy 3.21, 3 Th 3.28

Computed properties:
DOS at the Fermi energy (states/eV per cell): 4.209
Calculated formation energy (eV per atom): -0.17
Electronic total energy (eV/atom): -5.033